CrPdN2F | PBE with a Hubbard U | relaxed

The value obtained for the uncorrected energy is -5.429 eV/atom.

The space group is P4/mmm (No. 123) and the conventional cell measures 3.973, 3.973 and 4.254 Å, with angles of 90.00, 90.00 and 90.00 degrees. The asymmetric unit holds Cr at (0.000, 0.000, 0.000), Pd at (0.500, 0.500, 0.500), N at (0.000, 0.500, 0.500) and F at (0.500, 0.500, 0.000).